(P)
DFT (GGA-PBE) results for Sc2CuHg2 after structural relaxation.

Cell lengths 7.228, 7.228, 4.289 Å; angles 90.00, 90.00, 90.00 degrees
Space group P4/mbm (No. 127)
Inequivalent atoms, fractional coordinates:
Sc 0.156 0.344 0.000 [4 per cell]
Cu 0.000 0.000 0.000 [2 per cell]
Hg 0.150 0.650 0.500 [4 per cell]

Volume, Å³ per cell: 224.1

***

(Q)
DFT (GGA-PBE) results for Sc2CuHg2 after structural relaxation.

Cell lengths 7.398, 7.398, 3.879 Å; angles 90.00, 90.00, 90.00 degrees
Space group P4/mbm (No. 127)
Inequivalent atoms, fractional coordinates:
Sc 0.163 0.337 0.000 [4 per cell]
Cu 0.000 0.000 0.500 [2 per cell]
Hg 0.142 0.642 0.500 [4 per cell]

Volume, Å³ per cell: 212.3

***

Last place for stability: (P)